Record 1
TlCdPd2 | PBE | relaxed

Structure (CIF):
```
data_TlCdPd2
_symmetry_space_group_name_H-M 'F -4 3 m'
_symmetry_Int_Tables_number 216
_symmetry_space_group_name_Hall 'F -4 2 3'
_cell_length_a 6.665
_cell_length_b 6.665
_cell_length_c 6.665
_cell_angle_alpha 90.00
_cell_angle_beta 90.00
_cell_angle_gamma 90.00
loop_
_atom_site_label
_atom_site_type_symbol
_atom_site_fract_x
_atom_site_fract_y
_atom_site_fract_z
_atom_site_occupancy
Tl1 Tl 0.000 0.000 0.000 1
Cd1 Cd 0.250 0.250 0.250 1
Pd1 Pd 0.000 0.000 0.500 1
Pd2 Pd 0.250 0.250 0.750 1
```

Computed properties:
Volume, Å³ per cell: 296
Total DFT energy (no corrections), eV/atom: -3.5071


Record 2
SrGdMo | PBE | relaxed

Structure (CIF):
```
data_SrGdMo
_symmetry_space_group_name_H-M 'F -4 3 m'
_symmetry_Int_Tables_number 216
_symmetry_space_group_name_Hall 'F -4 2 3'
_cell_length_a 7.346
_cell_length_b 7.346
_cell_length_c 7.346
_cell_angle_alpha 90.00
_cell_angle_beta 90.00
_cell_angle_gamma 90.00
loop_
_atom_site_label
_atom_site_type_symbol
_atom_site_fract_x
_atom_site_fract_y
_atom_site_fract_z
_atom_site_occupancy
Sr1 Sr 0.000 0.000 0.000 1
Gd1 Gd 0.250 0.250 0.750 1
Mo1 Mo 0.000 0.000 0.500 1
```

Computed properties:
Volume, Å³ per cell: 396
Total DFT energy (no corrections), eV/atom: -4.2622
Spin magnetization, μB per formula unit: 2.79